<A>
Entry from Alexandria via LeMat-Bulk: BaMg2Si after structural relaxation (PBE-GGA).

abc: 3.4583 4.0395 7.8098
angles: 90.00 90.00 90.00
With the nearest neighbours (Å) after each atom.
Atoms (fractional coordinates):
Ba  0.0000  0.0000  0.0000  5 Mg 3.42-3.80, 2 Ba 3.46, 4 Si 3.49
Mg  0.0000  0.0000  0.5617  4 Si 2.90, 4 Mg 3.14
Mg  0.5000  0.5000  0.3479  1 Si 2.83, 4 Mg 3.14
Si  0.5000  0.5000  0.7108  5 Mg 2.83-2.90

Output
* symmetry: Pmm2
* magnetic moment: 0.0 μB/cell
* DOS at the Fermi energy: 2.337 states/eV/f.u.


<B>
Entry from Alexandria via LeMat-Bulk: BaMg2Si after structural relaxation (PBE-GGA).

abc: 5.4083 5.4083 5.4083
angles: 124.31 117.11 88.90
With the nearest neighbours (Å) after each atom.
Atoms (fractional coordinates):
Ba  0.0000  0.0000  0.0000  5 Mg 3.29-3.59, 4 Si 3.31
Mg  0.4646  0.4646  0.0000  2 Si 2.91, 2 Mg 3.20
Mg  0.7197  0.2197  0.5000  4 Mg 3.20-3.40, 4 Ba 3.29-3.33, 1 Si 3.42
Si  0.2770  0.7770  0.5000  2 Mg 2.91

Output
* symmetry: Imm2
* magnetic moment: 0.0 μB/cell
* DOS at the Fermi energy: 1.589 states/eV/f.u.


<C>
Entry from Alexandria via LeMat-Bulk: BaMg2Si after structural relaxation (PBE-GGA).

abc: 10.0070 10.0070 10.0070
angles: 148.20 148.20 45.60
With the nearest neighbours (Å) after each atom.
Atoms (fractional coordinates):
Ba  0.3750  0.6250  0.7500  8 Mg 3.84, 4 Si 3.88
Ba  0.6250  0.3750  0.2500  8 Mg 3.84, 4 Si 3.88
Mg  0.0000  0.0000  0.0000  2 Si 2.68, 2 Mg 2.74
Mg  0.0000  0.0000  0.5000  2 Si 2.68, 2 Mg 2.74
Mg  0.0000  0.5000  0.0000  2 Si 2.68, 2 Mg 2.74
Mg  0.5000  0.0000  0.5000  2 Si 2.68, 2 Mg 2.74
Si  0.1250  0.8750  0.2500  4 Mg 2.68
Si  0.8750  0.1250  0.7500  4 Mg 2.68

Output
* symmetry: I4_1/amd
* magnetic moment: 0.0 μB/cell
* DOS at the Fermi energy: 2.888 states/eV/f.u.


<D>
Entry from Alexandria via LeMat-Bulk: BaMg2Si after structural relaxation (PBE-GGA).

abc: 7.0969 7.0969 7.0969
angles: 37.51 37.51 37.51
With the nearest neighbours (Å) after each atom.
Atoms (fractional coordinates):
Ba  0.0000  0.0000  0.0000  6 Mg 3.64
Mg  0.2064  0.2064  0.2064  3 Si 2.75, 3 Mg 3.07
Mg  0.7936  0.7936  0.7936  3 Si 2.75, 3 Mg 3.07
Si  0.5000  0.5000  0.5000  6 Mg 2.75

Output
* symmetry: R-3m
* magnetic moment: 0.0 μB/cell
* DOS at the Fermi energy: 2.092 states/eV/f.u.


Tell me which of them is the most stable. Sure, it is <D>.


<A>
Entry from Alexandria via LeMat-Bulk: Ba2MgSi after structural relaxation (PBE-GGA).

abc: 5.7602 5.7602 4.3094
angles: 90.00 90.00 90.00
With the nearest neighbours (Å) after each atom.
Atoms (fractional coordinates):
Ba  0.0000  0.5000  0.0000  4 Mg 3.60, 4 Si 3.60
Ba  0.5000  0.0000  0.0000  4 Mg 3.60, 4 Si 3.60
Mg  0.0000  0.0000  0.5000  8 Ba 3.60
Si  0.5000  0.5000  0.5000  8 Ba 3.60

Output
* symmetry: P4/mmm
* magnetic moment: 0.0 μB/cell
* DOS at the Fermi energy: 3.497 states/eV/f.u.


<B>
Entry from Alexandria via LeMat-Bulk: Ba2MgSi after structural relaxation (PBE-GGA).

abc: 9.7814 9.7814 9.7814
angles: 28.22 28.22 28.22
With the nearest neighbours (Å) after each atom.
Atoms (fractional coordinates):
Ba  0.2311  0.2311  0.2311  3 Si 3.30
Ba  0.7689  0.7689  0.7689  3 Si 3.30
Mg  0.0000  0.0000  0.0000  6 Ba 3.98
Si  0.5000  0.5000  0.5000  6 Ba 3.30

Output
* symmetry: R-3m
* magnetic moment: 0.8 μB/cell
* DOS at the Fermi energy: 4.494 states/eV/f.u.


<C>
Entry from Alexandria via LeMat-Bulk: Ba2MgSi after structural relaxation (PBE-GGA).

abc: 4.0366 4.1319 8.7792
angles: 90.00 90.00 90.00
With the nearest neighbours (Å) after each atom.
Atoms (fractional coordinates):
Ba  0.0000  0.0000  0.2111  4 Si 3.43, 1 Ba 3.71
Ba  0.0000  0.0000  0.7889  4 Si 3.43, 1 Ba 3.71
Mg  0.5000  0.5000  0.5000  8 Ba 3.84, 4 Mg 4.04-4.13
Si  0.5000  0.5000  0.0000  8 Ba 3.43

Output
* symmetry: Pmmm
* magnetic moment: 0.0 μB/cell
* DOS at the Fermi energy: 2.698 states/eV/f.u.


Tell me which of them is the most stable. Sure, it is <C>.


<A>
Entry from Alexandria via LeMat-Bulk: Ba2MgSi after structural relaxation (PBE-GGA).

abc: 10.9615 10.9615 10.9615
angles: 147.03 147.03 47.32
With the nearest neighbours (Å) after each atom.
Atoms (fractional coordinates):
Ba  0.0885  0.6250  0.9635  2 Si 3.24, 2 Mg 3.45
Ba  0.3750  0.3385  0.4635  2 Si 3.24, 2 Mg 3.45
Ba  0.6615  0.1250  0.0365  2 Si 3.24, 2 Mg 3.45
Ba  0.8750  0.9115  0.5365  2 Si 3.24, 2 Mg 3.45
Mg  0.2500  0.7500  0.5000  4 Ba 3.45
Mg  0.5000  0.5000  0.0000  4 Ba 3.45
Si  0.0000  0.0000  0.0000  4 Ba 3.24
Si  0.7500  0.2500  0.5000  4 Ba 3.24

Output
* symmetry: I-42d
* magnetic moment: 0.0 μB/cell
* DOS at the Fermi energy: 3.364 states/eV/f.u.


<B>
Entry from Alexandria via LeMat-Bulk: Ba2MgSi after structural relaxation (PBE-GGA).

abc: 5.0457 4.7101 6.8217
angles: 90.00 111.65 90.00
With the nearest neighbours (Å) after each atom.
Atoms (fractional coordinates):
Ba  0.0000  0.0000  0.0000  2 Mg 3.46, 4 Si 3.58
Ba  0.2864  0.5000  0.5730  3 Si 3.66-3.68, 4 Mg 3.67-3.68
Mg  0.6867  0.0000  0.3738  2 Si 2.75
Si  0.5757  0.5000  0.1510  2 Mg 2.75

Output
* symmetry: Pm
* magnetic moment: 0.0 μB/cell
* DOS at the Fermi energy: 2.474 states/eV/f.u.


<C>
Entry from Alexandria via LeMat-Bulk: Ba2MgSi after structural relaxation (PBE-GGA).

abc: 5.8521 5.8521 5.8521
angles: 60.00 60.00 60.00
With the nearest neighbours (Å) after each atom.
Atoms (fractional coordinates):
Ba  0.2500  0.2500  0.2500  4 Mg 3.58, 4 Si 3.58
Ba  0.7500  0.7500  0.7500  4 Mg 3.58, 4 Si 3.58
Mg  0.0000  0.0000  0.0000  8 Ba 3.58
Si  0.5000  0.5000  0.5000  8 Ba 3.58

Output
* symmetry: Fm-3m
* magnetic moment: 0.0 μB/cell
* DOS at the Fermi energy: 0.544 states/eV/f.u.


Tell me which of them is the most stable. Sure, it is <B>.


<A>
Entry from Alexandria via LeMat-Bulk: BaSmMg2 after structural relaxation (PBE-GGA).

abc: 5.7748 5.7748 5.7748
angles: 60.00 60.00 60.00
With the nearest neighbours (Å) after each atom.
Atoms (fractional coordinates):
Ba  0.0000  0.0000  0.0000  8 Mg 3.54
Sm  0.5000  0.5000  0.5000  8 Mg 3.54
Mg  0.2500  0.2500  0.2500  4 Ba 3.54, 4 Sm 3.54
Mg  0.7500  0.7500  0.7500  4 Sm 3.54, 4 Ba 3.54

Output
* symmetry: Fm-3m
* magnetic moment: 0.0 μB/cell
* DOS at the Fermi energy: 4.031 states/eV/f.u.


<B>
Entry from Alexandria via LeMat-Bulk: BaSmMg2 after structural relaxation (PBE-GGA).

abc: 4.0390 4.0390 8.3905
angles: 90.00 90.00 90.00
With the nearest neighbours (Å) after each atom.
Atoms (fractional coordinates):
Ba  0.0000  0.0000  0.0000  8 Mg 3.77, 4 Ba 4.04, 2 Sm 4.20
Sm  0.0000  0.0000  0.5000  8 Mg 3.34
Mg  0.5000  0.5000  0.2925  4 Sm 3.34, 1 Mg 3.48
Mg  0.5000  0.5000  0.7075  4 Sm 3.34, 1 Mg 3.48

Output
* symmetry: P4/mmm
* magnetic moment: 0.0 μB/cell
* DOS at the Fermi energy: 4.145 states/eV/f.u.


Tell me which of them is the most stable. Sure, it is <B>.


<A>
Entry from Alexandria via LeMat-Bulk: BaMgSn4 after structural relaxation (PBE-GGA).

abc: 9.1068 9.1068 7.5095
angles: 90.00 90.00 142.80
With the nearest neighbours (Å) after each atom.
Atoms (fractional coordinates):
Ba  0.1016  0.8984  0.7500  5 Sn 3.43-3.76
Ba  0.8984  0.1016  0.2500  5 Sn 3.43-3.76
Mg  0.3648  0.6352  0.7500  6 Sn 2.95-2.99
Mg  0.6352  0.3648  0.2500  6 Sn 2.95-2.99
Sn  0.0970  0.9030  0.2500  2 Mg 2.98, 2 Sn 3.15
Sn  0.2595  0.7405  0.0599  4 Sn 2.85-3.15, 1 Mg 2.95
Sn  0.2595  0.7405  0.4401  4 Sn 2.85-3.15, 1 Mg 2.95
Sn  0.5000  0.5000  0.0000  2 Mg 2.99
Sn  0.5000  0.5000  0.5000  2 Mg 2.99
Sn  0.7405  0.2595  0.5599  4 Sn 2.85-3.15, 1 Mg 2.95
Sn  0.7405  0.2595  0.9401  4 Sn 2.85-3.15, 1 Mg 2.95
Sn  0.9030  0.0970  0.7500  2 Mg 2.98, 2 Sn 3.15

Output
* symmetry: Cmcm
* magnetic moment: 0.0 μB/cell
* DOS at the Fermi energy: 3.567 states/eV/f.u.


<B>
Entry from Alexandria via LeMat-Bulk: BaMgSn4 after structural relaxation (PBE-GGA).

abc: 6.3736 6.3736 6.3736
angles: 60.00 60.00 60.00
With the nearest neighbours (Å) after each atom.
Atoms (fractional coordinates):
Ba  0.0000  0.0000  0.0000  12 Sn 3.74, 4 Mg 3.90
Mg  0.7500  0.7500  0.7500  12 Sn 3.73, 4 Ba 3.90
Sn  0.3758  0.3758  0.3758  6 Sn 3.17-3.21
Sn  0.3758  0.3758  0.8725  6 Sn 3.17-3.21
Sn  0.3758  0.8725  0.3758  6 Sn 3.17-3.21
Sn  0.8725  0.3758  0.3758  6 Sn 3.17-3.21

Output
* symmetry: F-43m
* magnetic moment: 0.0 μB/cell
* DOS at the Fermi energy: 7.121 states/eV/f.u.


Tell me which of them is the most stable. Sure, it is <B>.


<A>
Entry from Alexandria via LeMat-Bulk: Ba2MgSn2 after structural relaxation (PBE-GGA).

abc: 8.1773 8.1773 5.4587
angles: 90.00 90.00 90.00
With the nearest neighbours (Å) after each atom.
Atoms (fractional coordinates):
Ba  0.1675  0.3325  0.0000  6 Sn 3.59-3.67, 1 Ba 3.87
Ba  0.3325  0.8325  0.0000  6 Sn 3.59-3.67, 1 Ba 3.87
Ba  0.6675  0.1675  0.0000  6 Sn 3.59-3.67, 1 Ba 3.87
Ba  0.8325  0.6675  0.0000  6 Sn 3.59-3.67, 1 Ba 3.87
Mg  0.0000  0.0000  0.5000  4 Sn 3.20
Mg  0.5000  0.5000  0.5000  4 Sn 3.20
Sn  0.1312  0.6312  0.5000  1 Sn 3.04, 2 Mg 3.20
Sn  0.3688  0.1312  0.5000  1 Sn 3.04, 2 Mg 3.20
Sn  0.6312  0.8688  0.5000  1 Sn 3.04, 2 Mg 3.20
Sn  0.8688  0.3688  0.5000  1 Sn 3.04, 2 Mg 3.20

Output
* symmetry: P4/mbm
* magnetic moment: 0.7 μB/cell
* DOS at the Fermi energy: 2.364 states/eV/f.u.


<B>
Entry from Alexandria via LeMat-Bulk: Ba2MgSn2 after structural relaxation (PBE-GGA).

abc: 8.9965 8.9965 8.9965
angles: 129.69 70.62 133.88
With the nearest neighbours (Å) after each atom.
Atoms (fractional coordinates):
Ba  0.1422  0.1921  0.3342  2 Mg 3.61, 6 Sn 3.62-4.03
Ba  0.3578  0.6921  0.0499  2 Mg 3.61, 6 Sn 3.62-4.03
Ba  0.6422  0.3079  0.9501  2 Mg 3.61, 6 Sn 3.62-4.03
Ba  0.8578  0.8079  0.6658  2 Mg 3.61, 6 Sn 3.62-4.03
Mg  0.2500  0.7500  0.5000  4 Sn 2.91
Mg  0.7500  0.2500  0.5000  4 Sn 2.91
Sn  0.1109  0.7160  0.8269  2 Mg 2.91
Sn  0.3891  0.2160  0.6051  2 Mg 2.91
Sn  0.6109  0.7840  0.3949  2 Mg 2.91
Sn  0.8891  0.2840  0.1731  2 Mg 2.91

Output
* symmetry: Ibam
* magnetic moment: 0.0 μB/cell
* DOS at the Fermi energy: 5.055 states/eV/f.u.


Tell me which of them is the most stable. Sure, it is <A>.


<A>
Entry from Alexandria via LeMat-Bulk: BaMg3Sn after structural relaxation (PBE-GGA).

abc: 5.6288 5.6288 5.6288
angles: 90.00 90.00 90.00
With the nearest neighbours (Å) after each atom.
Atoms (fractional coordinates):
Ba  0.0000  0.0000  0.0000  12 Mg 3.98
Mg  0.0000  0.5000  0.5000  2 Sn 2.81
Mg  0.5000  0.0000  0.5000  2 Sn 2.81
Mg  0.5000  0.5000  0.0000  2 Sn 2.81
Sn  0.5000  0.5000  0.5000  6 Mg 2.81

Output
* symmetry: Pm-3m
* magnetic moment: 0.0 μB/cell
* DOS at the Fermi energy: 5.393 states/eV/f.u.


<B>
Entry from Alexandria via LeMat-Bulk: BaMg3Sn after structural relaxation (PBE-GGA).

abc: 6.1397 6.1397 6.1397
angles: 90.00 90.00 90.00
With the nearest neighbours (Å) after each atom.
Atoms (fractional coordinates):
Ba  0.0000  0.0000  0.0000  6 Mg 3.07
Mg  0.0000  0.0000  0.5000  2 Ba 3.07
Mg  0.0000  0.5000  0.0000  2 Ba 3.07
Mg  0.5000  0.0000  0.0000  2 Ba 3.07
Sn  0.5000  0.5000  0.5000  12 Mg 4.34

Output
* symmetry: Pm-3m
* magnetic moment: 0.0 μB/cell
* DOS at the Fermi energy: 6.076 states/eV/f.u.


Tell me which of them is the most stable. Sure, it is <A>.


<A>
Entry from Alexandria via LeMat-Bulk: BaMg6Sn after structural relaxation (PBE-GGA).

abc: 4.9656 7.8047 7.8047
angles: 48.31 90.00 90.00
With the nearest neighbours (Å) after each atom.
Atoms (fractional coordinates):
Ba  0.0000  0.0000  0.0000  8 Mg 3.41-3.65, 2 Sn 3.49
Mg  0.0000  0.4154  0.4154  8 Mg 3.10-3.37, 2 Ba 3.41
Mg  0.0000  0.4926  0.9605  4 Mg 2.99-3.18, 2 Sn 3.11
Mg  0.0000  0.9605  0.4926  4 Mg 2.99-3.18, 2 Sn 3.11
Mg  0.5000  0.0973  0.6103  1 Sn 3.07, 6 Mg 3.07-3.28
Mg  0.5000  0.5756  0.5756  8 Mg 3.37-3.61, 2 Sn 3.47
Mg  0.5000  0.6103  0.0973  1 Sn 3.07, 6 Mg 3.07-3.28
Sn  0.5000  0.1717  0.1717  6 Mg 3.07-3.11

Output
* symmetry: Amm2
* magnetic moment: 0.0 μB/cell
* DOS at the Fermi energy: 2.741 states/eV/f.u.


<B>
Entry from Alexandria via LeMat-Bulk: BaMg6Sn after structural relaxation (PBE-GGA).

abc: 4.9821 7.8866 7.8866
angles: 47.24 90.00 90.00
With the nearest neighbours (Å) after each atom.
Atoms (fractional coordinates):
Ba  0.0000  0.0000  0.0000  2 Sn 3.42, 8 Mg 3.51-3.68
Mg  0.0000  0.4898  0.9650  6 Mg 3.00-3.32, 1 Sn 3.11
Mg  0.0000  0.9650  0.4898  6 Mg 3.00-3.32, 1 Sn 3.11
Mg  0.5000  0.1043  0.6189  2 Sn 3.05, 5 Mg 3.07-3.25
Mg  0.5000  0.1712  0.1712  8 Mg 3.10-3.35
Mg  0.5000  0.5933  0.5933  8 Mg 3.35-3.72, 2 Sn 3.64
Mg  0.5000  0.6189  0.1043  2 Sn 3.05, 5 Mg 3.07-3.25
Sn  0.0000  0.4094  0.4094  6 Mg 3.05-3.11

Output
* symmetry: Amm2
* magnetic moment: 0.0 μB/cell
* DOS at the Fermi energy: 3.187 states/eV/f.u.


Tell me which of them is the most stable. Sure, it is <A>.


<A>
Entry from Alexandria via LeMat-Bulk: BaSr4Mg after structural relaxation (PBE-GGA).

abc: 7.7282 7.7282 7.7282
angles: 60.00 60.00 60.00
With the nearest neighbours (Å) after each atom.
Atoms (fractional coordinates):
Ba  0.0000  0.0000  0.0000  12 Sr 4.53, 4 Mg 4.73
Sr  0.3754  0.3754  0.3754  6 Sr 3.85-3.88
Sr  0.3754  0.3754  0.8737  6 Sr 3.85-3.88
Sr  0.3754  0.8737  0.3754  6 Sr 3.85-3.88
Sr  0.8737  0.3754  0.3754  6 Sr 3.85-3.88
Mg  0.7500  0.7500  0.7500  12 Sr 4.53, 4 Ba 4.73

Output
* symmetry: F-43m
* magnetic moment: 0.0 μB/cell
* DOS at the Fermi energy: 5.936 states/eV/f.u.


<B>
Entry from Alexandria via LeMat-Bulk: BaSr4Mg after structural relaxation (PBE-GGA).

abc: 4.2722 4.2722 16.5426
angles: 90.00 90.00 90.00
With the nearest neighbours (Å) after each atom.
Atoms (fractional coordinates):
Ba  0.0000  0.0000  0.0000  4 Ba 4.27, 8 Sr 4.43
Sr  0.0000  0.0000  0.3783  4 Mg 3.63, 1 Sr 4.03
Sr  0.0000  0.0000  0.6217  4 Mg 3.63, 1 Sr 4.03
Sr  0.5000  0.5000  0.1955  8 Sr 4.27, 4 Ba 4.43
Sr  0.5000  0.5000  0.8045  8 Sr 4.27, 4 Ba 4.43
Mg  0.5000  0.5000  0.5000  8 Sr 3.63

Output
* symmetry: P4/mmm
* magnetic moment: 0.0 μB/cell
* DOS at the Fermi energy: 7.189 states/eV/f.u.


Tell me which of them is the most stable. Sure, it is <B>.


<A>
Entry from Alexandria via LeMat-Bulk: Ba6SrMg after structural relaxation (PBE-GGA).

abc: 11.6747 11.6747 11.6747
angles: 147.65 147.65 46.41
With the nearest neighbours (Å) after each atom.
Atoms (fractional coordinates):
Ba  0.1069  0.6069  0.5000  2 Sr 3.98, 2 Mg 3.98, 2 Ba 4.43
Ba  0.2468  0.2468  0.0000  12 Ba 4.43-4.60
Ba  0.3931  0.8931  0.5000  2 Mg 3.98, 2 Sr 3.98, 2 Ba 4.43
Ba  0.6069  0.1069  0.5000  2 Sr 3.98, 2 Mg 3.98, 2 Ba 4.43
Ba  0.7532  0.7532  0.0000  12 Ba 4.43-4.60
Ba  0.8931  0.3931  0.5000  2 Mg 3.98, 2 Sr 3.98, 2 Ba 4.43
Sr  0.0000  0.0000  0.0000  8 Ba 3.98
Mg  0.5000  0.5000  0.0000  8 Ba 3.98

Output
* symmetry: I4/mmm
* magnetic moment: 0.0 μB/cell
* DOS at the Fermi energy: 12.948 states/eV/f.u.


<B>
Entry from Alexandria via LeMat-Bulk: Ba6SrMg after structural relaxation (PBE-GGA).

abc: 8.4574 8.4574 8.2201
angles: 108.75 108.75 110.19
With the nearest neighbours (Å) after each atom.
Atoms (fractional coordinates):
Ba  0.0345  0.0345  0.2810  1 Mg 3.80, 3 Ba 4.01
Ba  0.0352  0.5001  0.2535  1 Mg 3.80, 3 Ba 4.01-4.02
Ba  0.5001  0.0352  0.2535  1 Mg 3.80, 3 Ba 4.01-4.02
Ba  0.4999  0.9648  0.7465  1 Mg 3.80, 3 Ba 4.01-4.02
Ba  0.9648  0.4999  0.7465  1 Mg 3.80, 3 Ba 4.01-4.02
Ba  0.9655  0.9655  0.7190  1 Mg 3.80, 3 Ba 4.01
Sr  0.5000  0.5000  0.0000  2 Mg 4.11, 6 Ba 4.32-4.33
Mg  0.5000  0.5000  0.5000  6 Ba 3.80, 2 Sr 4.11

Output
* symmetry: C2/m
* magnetic moment: 0.0 μB/cell
* DOS at the Fermi energy: 10.749 states/eV/f.u.


Tell me which of them is the most stable. Sure, it is <A>.